[1]
## LiHF (PBE-GGA)

Data for crystalline LiHF at its relaxed geometry.

Calculated total energy in eV/atom: -4.31
ΔE to the lowest computed polymorph in eV per formula unit: 0.002
SG: C2/m (12)
Mass density in g/cm³: 1.37
Density of states at the Fermi level in states/eV/cell: 0.0

a b c (Å): 3.2281 3.2281 7.5669
angles (deg): 105.63 105.63 60.97
Element x y z (fractional)
Li 0.2267 0.2267 0.1367
Li 0.7733 0.7733 0.8633
H 0.3853 0.6147 0.5000
H 0.6147 0.3853 0.5000
F 0.1045 0.1045 0.8511
F 0.8955 0.8955 0.1489

[2]
## LiHF2 (PBE-GGA)

Data for crystalline LiHF2 at its relaxed geometry.

Calculated total energy in eV/atom: -4.12
ΔE to the lowest computed polymorph in eV per formula unit: 1.868
SG: I-42d (122)
Mass density in g/cm³: 2.54
Density of states at the Fermi level in states/eV/cell: 0.0

a b c (Å): 4.5849 4.5849 4.5849
angles (deg): 126.64 126.64 78.85
Element x y z (fractional)
Li 0.0000 0.0000 0.0000
Li 0.7500 0.2500 0.5000
H 0.2500 0.7500 0.5000
H 0.5000 0.5000 0.0000
F 0.1959 0.6250 0.0709
F 0.3750 0.4459 0.5709
F 0.5541 0.1250 0.9291
F 0.8750 0.8041 0.4291

[3]
## Li4HF2 (PBE-GGA)

Data for crystalline Li4HF2 at its relaxed geometry.

Calculated total energy in eV/atom: -3.57
ΔE to the lowest computed polymorph in eV per formula unit: 0.218
SG: I4/mmm (139)
Mass density in g/cm³: 1.45
Density of states at the Fermi level in states/eV/cell: 1.8

a b c (Å): 5.9879 5.9879 5.9879
angles (deg): 143.21 143.21 53.02
Element x y z (fractional)
Li 0.0000 0.5000 0.5000
Li 0.2044 0.2044 0.0000
Li 0.5000 0.0000 0.5000
Li 0.7956 0.7956 0.0000
H 0.0000 0.0000 0.0000
F 0.3788 0.3788 0.0000
F 0.6212 0.6212 0.0000

[4]
## LiH2F3 (PBE-GGA)

Data for crystalline LiH2F3 at its relaxed geometry.

Calculated total energy in eV/atom: -4.34
SG: P2_1/m (11)
Mass density in g/cm³: 2.00
Density of states at the Fermi level in states/eV/cell: 0.0

a b c (Å): 5.2624 2.9359 7.2638
angles (deg): 90.00 102.05 90.00
Element x y z (fractional)
Li 0.1765 0.2500 0.1232
Li 0.8235 0.7500 0.8768
H 0.2376 0.2500 0.5134
H 0.3111 0.2500 0.8157
H 0.6889 0.7500 0.1843
H 0.7624 0.7500 0.4866
F 0.1471 0.2500 0.3818
F 0.2076 0.7500 0.9644
F 0.3998 0.2500 0.7110
F 0.6002 0.7500 0.2890
F 0.7924 0.2500 0.0356
F 0.8529 0.7500 0.6182